1.
# TeRuPtI2 | the Alexandria database | PBE | relaxed
data_TeRuPtI2
_symmetry_space_group_name_H-M 'P 4/m m m'
_symmetry_Int_Tables_number 123
_symmetry_space_group_name_Hall '-P 4 2'
_cell_length_a 5.418
_cell_length_b 5.418
_cell_length_c 4.960
_cell_angle_alpha 90.00
_cell_angle_beta 90.00
_cell_angle_gamma 90.00
loop_
_atom_site_label
_atom_site_type_symbol
_atom_site_fract_x
_atom_site_fract_y
_atom_site_fract_z
_atom_site_occupancy
Te1 Te 0.000 0.000 0.000 1
Ru1 Ru 0.000 0.000 0.500 1
Pt1 Pt 0.500 0.500 0.000 1
I1 I 0.000 0.500 0.500 1
# Density of states at the Fermi level = 8.83 states/eV per cell
# Formation energy (no corrections) = 975 meV per atom
# Calculated total energy = -3.337 eV/atom
# Relative energy among the computed polymorphs = 0.000 eV/atom

2.
# PaFeCoPt | the Alexandria database | PBE | relaxed
data_PaFeCoPt
_symmetry_space_group_name_H-M 'P m m m'
_symmetry_Int_Tables_number 47
_cell_length_a 3.760
_cell_length_b 4.051
_cell_length_c 4.058
_cell_angle_alpha 90.00
_cell_angle_beta 90.00
_cell_angle_gamma 90.00
loop_
_symmetry_equiv_pos_as_xyz
'x,y,z'
'-x,-y,-z'
'-x,-y,z'
'x,y,-z'
'x,-y,-z'
'-x,y,z'
'-x,y,-z'
'x,-y,z'
loop_
_atom_site_label
_atom_site_type_symbol
_atom_site_fract_x
_atom_site_fract_y
_atom_site_fract_z
_atom_site_occupancy
Pa1 Pa 0.000 0.000 0.000 1
Fe1 Fe 0.500 0.500 0.000 1
Co1 Co 0.500 0.000 0.500 1
Pt1 Pt 0.000 0.500 0.500 1
# Density of states at the Fermi level = 2.48 states/eV per cell
# Calculated total energy = -8.271 eV/atom
# DFT formation energy = -47.8 kJ/mol of atoms

3.
# LiCeHoPd | the Alexandria database | PBE | relaxed
data_LiCeHoPd
_symmetry_space_group_name_H-M 'F -4 3 m'
_symmetry_Int_Tables_number 216
_symmetry_space_group_name_Hall 'F -4 2 3'
_cell_length_a 7.163
_cell_length_b 7.163
_cell_length_c 7.163
_cell_angle_alpha 90.00
_cell_angle_beta 90.00
_cell_angle_gamma 90.00
loop_
_atom_site_label
_atom_site_type_symbol
_atom_site_fract_x
_atom_site_fract_y
_atom_site_fract_z
_atom_site_occupancy
Li1 Li 0.000 0.000 0.000 1
Ce1 Ce 0.250 0.250 0.250 1
Ho1 Ho 0.250 0.250 0.750 1
Pd1 Pd 0.000 0.000 0.500 1
# Density of states at the Fermi level = 33.55 states/eV per cell
# Calculated total energy = -4.678 eV/atom
# DFT formation energy = -26.4 kJ/mol of atoms

4.
# Sr2Zn2SnRh5 | the Alexandria database | PBE | relaxed
data_Sr2Zn2SnRh5
_symmetry_space_group_name_H-M 'P 4/m b m'
_symmetry_Int_Tables_number 127
_symmetry_space_group_name_Hall '-P 4 2ab'
_cell_length_a 10.377
_cell_length_b 10.377
_cell_length_c 3.405
_cell_angle_alpha 90.00
_cell_angle_beta 90.00
_cell_angle_gamma 90.00
loop_
_atom_site_label
_atom_site_type_symbol
_atom_site_fract_x
_atom_site_fract_y
_atom_site_fract_z
_atom_site_occupancy
Sr1 Sr 0.175 0.325 0.000 1
Zn1 Zn 0.126 0.626 0.000 1
Sn1 Sn 0.000 0.000 0.000 1
Rh1 Rh 0.000 0.500 0.500 1
Rh2 Rh 0.060 0.799 0.500 1
# Density of states at the Fermi level = 9.78 states/eV per cell
# Calculated total energy = -5.010 eV/atom
# DFT formation energy = -33.1 kJ/mol of atoms

5.
# MoRhCl | the Alexandria database | PBE | relaxed
data_MoRhCl
_symmetry_space_group_name_H-M 'I 4 m m'
_symmetry_Int_Tables_number 107
_symmetry_space_group_name_Hall 'I 4 -2'
_cell_length_a 2.900
_cell_length_b 2.900
_cell_length_c 12.668
_cell_angle_alpha 90.00
_cell_angle_beta 90.00
_cell_angle_gamma 90.00
loop_
_atom_site_label
_atom_site_type_symbol
_atom_site_fract_x
_atom_site_fract_y
_atom_site_fract_z
_atom_site_occupancy
Mo1 Mo 0.000 0.000 0.000 1
Rh1 Rh 0.000 0.000 0.629 1
Cl1 Cl 0.000 0.000 0.369 1
# Density of states at the Fermi level = 3.32 states/eV per cell
# Formation energy (no corrections) = 47 meV per atom
# Calculated total energy = -6.629 eV/atom
# Relative energy among the computed polymorphs = 0.029 eV/atom

6.
# ZnNi2H | the Alexandria database | PBE | relaxed
data_ZnNi2H
_symmetry_space_group_name_H-M 'P 4/m m m'
_symmetry_Int_Tables_number 123
_symmetry_space_group_name_Hall '-P 4 2'
_cell_length_a 2.514
_cell_length_b 2.514
_cell_length_c 6.040
_cell_angle_alpha 90.00
_cell_angle_beta 90.00
_cell_angle_gamma 90.00
loop_
_atom_site_label
_atom_site_type_symbol
_atom_site_fract_x
_atom_site_fract_y
_atom_site_fract_z
_atom_site_occupancy
Zn1 Zn 0.000 0.000 0.000 1
Ni1 Ni 0.500 0.500 0.306 1
H1 H 0.000 0.000 0.500 1
# Density of states at the Fermi level = 2.22 states/eV per cell
# Calculated total energy = -3.940 eV/atom
# Relative energy among the computed polymorphs = 0.231 eV/atom

7.
# HoCrFe4 | the Alexandria database | PBE | relaxed
data_HoCrFe4
_symmetry_space_group_name_H-M 'F -4 3 m'
_symmetry_Int_Tables_number 216
_symmetry_space_group_name_Hall 'F -4 2 3'
_cell_length_a 6.912
_cell_length_b 6.912
_cell_length_c 6.912
_cell_angle_alpha 90.00
_cell_angle_beta 90.00
_cell_angle_gamma 90.00
loop_
_atom_site_label
_atom_site_type_symbol
_atom_site_fract_x
_atom_site_fract_y
_atom_site_fract_z
_atom_site_occupancy
Ho1 Ho 0.000 0.000 0.000 1
Cr1 Cr 0.250 0.250 0.750 1
Fe1 Fe 0.124 0.124 0.376 1
# Density of states at the Fermi level = 36.91 states/eV per cell
# Calculated total energy = -7.849 eV/atom
# DFT formation energy = 15.5 kJ/mol of atoms

8.
# SrY2Fe2 | the Alexandria database | PBE | relaxed
data_SrY2Fe2
_symmetry_space_group_name_H-M 'I 4/m m m'
_symmetry_Int_Tables_number 139
_symmetry_space_group_name_Hall '-I 4 2'
_cell_length_a 4.686
_cell_length_b 4.686
_cell_length_c 11.772
_cell_angle_alpha 90.00
_cell_angle_beta 90.00
_cell_angle_gamma 90.00
loop_
_atom_site_label
_atom_site_type_symbol
_atom_site_fract_x
_atom_site_fract_y
_atom_site_fract_z
_atom_site_occupancy
Sr1 Sr 0.000 0.000 0.000 1
Y1 Y 0.000 0.500 0.250 1
Fe1 Fe 0.000 0.000 0.406 1
# Density of states at the Fermi level = 16.05 states/eV per cell
# Calculated total energy = -5.966 eV/atom
# DFT formation energy = 32.9 kJ/mol of atoms
# Relative energy among the computed polymorphs = 0.092 eV/atom

9.
# Ac2NdCuTe5 | the Alexandria database | PBE | relaxed
data_Ac2NdCuTe5
_symmetry_space_group_name_H-M 'C m c 21'
_symmetry_Int_Tables_number 36
_cell_length_a 4.506
_cell_length_b 19.715
_cell_length_c 13.418
_cell_angle_alpha 90.00
_cell_angle_beta 90.00
_cell_angle_gamma 90.00
loop_
_symmetry_equiv_pos_as_xyz
'x,y,z'
'-x,-y,z+1/2'
'-x,y,z'
'x,-y,z+1/2'
'x+1/2,y+1/2,z'
'-x+1/2,-y+1/2,z+1/2'
'-x+1/2,y+1/2,z'
'x+1/2,-y+1/2,z+1/2'
loop_
_atom_site_label
_atom_site_type_symbol
_atom_site_fract_x
_atom_site_fract_y
_atom_site_fract_z
_atom_site_occupancy
Ac1 Ac 0.000 0.110 0.000 1
Ac2 Ac 0.000 0.122 0.625 1
Nd1 Nd 0.000 0.192 0.324 1
Cu1 Cu 0.000 0.429 0.768 1
Te1 Te 0.000 0.042 0.369 1
Te2 Te 0.000 0.288 0.988 1
Te3 Te 0.000 0.313 0.660 1
Te4 Te 0.000 0.356 0.315 1
Te5 Te 0.000 0.499 0.598 1
# Density of states at the Fermi level = 0.02 states/eV per cell
# Formation energy (no corrections) = -1311 meV per atom
# Calculated total energy = -4.954 eV/atom

10.
# Mg4Sc5 | the Alexandria database | PBE | relaxed
data_Mg4Sc5
_symmetry_space_group_name_H-M 'I 4/m m m'
_symmetry_Int_Tables_number 139
_symmetry_space_group_name_Hall '-I 4 2'
_cell_length_a 9.676
_cell_length_b 9.676
_cell_length_c 4.546
_cell_angle_alpha 90.00
_cell_angle_beta 90.00
_cell_angle_gamma 90.00
loop_
_atom_site_label
_atom_site_type_symbol
_atom_site_fract_x
_atom_site_fract_y
_atom_site_fract_z
_atom_site_occupancy
Mg1 Mg 0.000 0.335 0.000 1
Sc1 Sc 0.000 0.000 0.000 1
Sc2 Sc 0.166 0.166 0.500 1
# Density of states at the Fermi level = 23.88 states/eV per cell
# Calculated total energy = -4.223 eV/atom
# DFT formation energy = 0.4 kJ/mol of atoms
# Relative energy among the computed polymorphs = 0.000 eV/atom

11.
# AgTe4Pb3 | the Alexandria database | PBE | relaxed
data_AgTe4Pb3
_symmetry_space_group_name_H-M 'P 4/m m m'
_symmetry_Int_Tables_number 123
_symmetry_space_group_name_Hall '-P 4 2'
_cell_length_a 4.538
_cell_length_b 4.538
_cell_length_c 12.740
_cell_angle_alpha 90.00
_cell_angle_beta 90.00
_cell_angle_gamma 90.00
loop_
_atom_site_label
_atom_site_type_symbol
_atom_site_fract_x
_atom_site_fract_y
_atom_site_fract_z
_atom_site_occupancy
Ag1 Ag 0.000 0.000 0.000 1
Te1 Te 0.000 0.000 0.237 1
Te2 Te 0.500 0.500 0.000 1
Te3 Te 0.500 0.500 0.500 1
Pb1 Pb 0.000 0.000 0.500 1
Pb2 Pb 0.500 0.500 0.245 1
# Density of states at the Fermi level = 6.14 states/eV per cell
# Formation energy (no corrections) = -233 meV per atom
# Calculated total energy = -3.551 eV/atom

12.
# BaNiRu2 | the Alexandria database | PBE | relaxed
data_BaNiRu2
_symmetry_space_group_name_H-M 'R 3 m'
_symmetry_Int_Tables_number 160
_symmetry_space_group_name_Hall 'R 3 -2"'
_cell_length_a 4.2899
_cell_length_b 4.2899
_cell_length_c 17.2446
_cell_angle_alpha 90.00
_cell_angle_beta 90.00
_cell_angle_gamma 120.00
loop_
_atom_site_label
_atom_site_type_symbol
_atom_site_fract_x
_atom_site_fract_y
_atom_site_fract_z
_atom_site_occupancy
Ba1 Ba 0.0000 0.0000 0.0000 1
Ni1 Ni 0.0000 0.0000 0.1889 1
Ru1 Ru 0.0000 0.0000 0.4934 1
Ru2 Ru 0.0000 0.0000 0.8152 1
# Density of states at the Fermi level = 19.50 states/eV per cell
# Calculated total energy = -6.317 eV/atom
# DFT formation energy = 23.8 kJ/mol of atoms
# Relative energy among the computed polymorphs = 0.000 eV/atom

no.,M_tot (μB per formula unit)
1,0.0
2,1.5
3,0.9
4,0.0
5,0.0
6,0.0
7,8.6
8,2.8
9,0.0
10,1.3
11,0.0
12,0.4